(1)
Here is Rb4Nd after structural relaxation from Alexandria via LeMat-Bulk. Energies are from PBE.

The structure belongs to space group Pm-3m (No. 221); the cell edges are 7.625, 7.625 and 7.625 Å and the angles 90.00°, 90.00° and 90.00°. The asymmetric unit holds Rb at (0.000, 0.000, 0.000), Rb at (0.000, 0.500, 0.500) and Nd at (0.500, 0.500, 0.500).

The value obtained for the formation energy from the elements is 0.663 eV/atom. The calculation puts the theoretical density at 1.82 g cm⁻³. As for the volume: 443 Å³ per cell.

***

(2)
Here is Rb3Nd after structural relaxation from Alexandria via LeMat-Bulk. Energies are from PBE.

The structure belongs to space group I4/mmm (No. 139); the cell edges are 6.237, 6.237 and 13.597 Å and the angles 90.00°, 90.00° and 90.00°. The asymmetric unit holds Rb at (0.000, 0.000, 0.000), Rb at (0.000, 0.500, 0.250) and Nd at (0.000, 0.000, 0.500).

The value obtained for the formation energy from the elements is 0.585 eV/atom. The calculation puts the theoretical density at 2.52 g cm⁻³. As for the volume: 529 Å³ per cell. As for the excess energy over the best structure of this formula in the dataset: 0.0 meV per atom.

***

(3)
Here is RbNd4 after structural relaxation from Alexandria via LeMat-Bulk. Energies are from PBE.

The structure belongs to space group Pm-3m (No. 221); the cell edges are 5.783, 5.783 and 5.783 Å and the angles 90.00°, 90.00° and 90.00°. The asymmetric unit holds Rb at (0.000, 0.000, 0.000), Nd at (0.000, 0.000, 0.500) and Nd at (0.500, 0.500, 0.500).

The value obtained for the formation energy from the elements is 1.030 eV/atom. The calculation puts the theoretical density at 5.69 g cm⁻³. As for the volume: 193 Å³ per cell.

***

(4)
Here is Rb3Nd after structural relaxation from Alexandria via LeMat-Bulk. Energies are from PBE.

The structure belongs to space group Fm-3m (No. 225); the cell edges are 10.230, 10.230 and 10.230 Å and the angles 90.00°, 90.00° and 90.00°. The asymmetric unit holds Rb at (0.000, 0.000, 0.000), Rb at (0.250, 0.250, 0.250) and Nd at (0.000, 0.000, 0.500).

The value obtained for the formation energy from the elements is 0.603 eV/atom. The calculation puts the theoretical density at 2.49 g cm⁻³. As for the volume: 1071 Å³ per cell. As for the excess energy over the best structure of this formula in the dataset: 18.0 meV per atom.

***

(5)
Here is RbNd2Rh after structural relaxation from Alexandria via LeMat-Bulk. Energies are from PBE.

The structure belongs to space group R-3m (No. 166, hexagonal axes); the cell edges are 4.2100, 4.2100 and 34.4146 Å and the angles 90.00°, 90.00° and 120.00°. The asymmetric unit holds Rb at (0.0000, 0.0000, 0.0000), Nd at (0.0000, 0.0000, 0.1241) and Rh at (0.0000, 0.0000, 0.5000).

The value obtained for the formation energy from the elements is -0.230 eV/atom. The calculation puts the theoretical density at 4.50 g cm⁻³. As for the volume: 528 Å³ per cell.

***

(6)
Here is RbNd3S4 after structural relaxation from Alexandria via LeMat-Bulk. Energies are from PBE.

The structure belongs to space group P6_3/mmc (No. 194); the cell edges are 4.1419, 4.1419 and 28.6693 Å and the angles 90.00°, 90.00° and 120.00°. The asymmetric unit holds Rb at (0.3333, 0.6667, 0.2500), Nd at (0.0000, 0.0000, 0.0000), Nd at (0.3333, 0.6667, 0.6145), S at (0.0000, 0.0000, 0.1683) and S at (0.3333, 0.6667, 0.0575).

The calculation puts the theoretical density at 5.04 g cm⁻³. As for the volume: 426 Å³ per cell. For the formation energy without anion corrections, the calculation gives -1913 meV/atom.

***

(7)
Here is RbNdS after structural relaxation from Alexandria via LeMat-Bulk. Energies are from PBE.

The structure belongs to space group C2/m (No. 12); the cell edges are 9.107, 4.243 and 13.312 Å and the angles 90.00°, 93.70° and 90.00°. The asymmetric unit holds Rb at (0.121, 0.000, 0.342), Nd at (0.146, 0.500, 0.908) and S at (0.158, 0.500, 0.121).

The calculation puts the theoretical density at 3.39 g cm⁻³. As for the volume: 513 Å³ per cell. For the formation energy without anion corrections, the calculation gives -1019 meV/atom.

***

(8)
Here is RbNd4S6 after structural relaxation from Alexandria via LeMat-Bulk. Energies are from PBE.

The structure belongs to space group Cmcm (No. 63); the cell edges are 4.109, 13.736 and 21.743 Å and the angles 90.00°, 90.00° and 90.00°. The asymmetric unit holds Rb at (0.000, 0.148, 0.250), Nd at (0.000, 0.103, 0.634), Nd at (0.000, 0.370, 0.542), S at (0.000, 0.000, 0.000), S at (0.000, 0.168, 0.750), S at (0.000, 0.271, 0.078) and S at (0.000, 0.469, 0.651).

The calculation puts the theoretical density at 4.63 g cm⁻³. As for the volume: 1227 Å³ per cell. For the formation energy without anion corrections, the calculation gives -1919 meV/atom. As for the excess energy over the best structure of this formula in the dataset: 0.0 meV per atom.

***

(9)
Here is Rb2NdS10 after structural relaxation from Alexandria via LeMat-Bulk. Energies are from PBE.

The structure belongs to space group Pbam (No. 55); the cell edges are 6.487, 25.041 and 5.087 Å and the angles 90.00°, 90.00° and 90.00°. The asymmetric unit holds Rb at (0.038, 0.132, 0.000), Nd at (0.000, 0.500, 0.500), S at (0.040, 0.404, 0.201), S at (0.087, 0.034, 0.500), S at (0.157, 0.712, 0.500) and S at (0.235, 0.787, 0.500).

The calculation puts the theoretical density at 2.56 g cm⁻³. As for the volume: 826 Å³ per cell. For the formation energy without anion corrections, the calculation gives -488 meV/atom.

***

(10)
Here is Rb5NdS4 after structural relaxation from Alexandria via LeMat-Bulk. Energies are from PBE.

The structure belongs to space group Immm (No. 71); the cell edges are 4.608, 8.632 and 18.285 Å and the angles 90.00°, 90.00° and 90.00°. The asymmetric unit holds Rb at (0.000, 0.000, 0.000), Rb at (0.000, 0.248, 0.330), Nd at (0.000, 0.500, 0.000), S at (0.000, 0.220, 0.500) and S at (0.000, 0.500, 0.164).

The calculation puts the theoretical density at 3.20 g cm⁻³. As for the volume: 727 Å³ per cell. For the formation energy without anion corrections, the calculation gives -1207 meV/atom.

***

Uncorrected energy across the listed records, respectively: -1.06; -1.33; -2.98; -1.31; -4.69; -5.89; -4.31; -5.99; -4.18; -3.82 eV/atom.